# 1
Computed, not measured: a PBEsol-optimized structure of Ni2PtRh at the meta-GGA SCAN level of DFT.

* spin magnetization: 0.762 μB per atom
* Fermi-level density of states: 3.8 states/eV per cell
* E_tot: -34.137 eV/atom
* space group: Cm

Cell: 4.5365 4.5365 4.4350 Å, 100.78 100.78 33.90°
Positions (direct):
Ni  0.0000  0.0000  0.0000
Ni  0.7430  0.7430  0.2504
Pt  0.4944  0.4944  0.4916
Rh  0.2507  0.2507  0.7663

# 2
Computed, not measured: a PBEsol-optimized structure of ScTaSe3 at the meta-GGA SCAN level of DFT.

* spin magnetization: 0.399 μB per atom
* Fermi-level density of states: 2.0 states/eV per cell
* ΔE_f (raw): 198 meV per atom
* space group: Pm-3m

Cell: 4.9386 4.9386 4.9386 Å, 90.00 90.00 90.00°
Positions (direct):
Sc  0.0000  0.0000  0.0000
Ta  0.5000  0.5000  0.5000
Se  0.0000  0.0000  0.5000
Se  0.0000  0.5000  0.0000
Se  0.5000  0.0000  0.0000

# 3
Computed, not measured: a PBEsol-optimized structure of RhSeCl2 at the meta-GGA SCAN level of DFT.

* spin magnetization: 0.531 μB per atom
* Fermi-level density of states: 3.2 states/eV per cell
* ΔE_f (raw): 772 meV per atom
* space group: Cmmm

Cell: 4.8551 4.8551 2.9816 Å, 90.00 90.00 105.10°
Positions (direct):
Rh  0.0000  0.0000  0.0000
Se  0.5000  0.5000  0.0000
Cl  0.0000  0.5000  0.5000
Cl  0.5000  0.0000  0.5000

- Among the records above, which one has the highest Fermi-level density of states?
  Ni2PtRh

- Among the records above, which one has the highest Fermi-level density of states?
  Ni2PtRh